The following is a DFT calculation (PBE-GGA) of a relaxed structure of CoMo2Cl.

Output
- Crystal system: tetragonal
- D(E_F): 3.41 states/eV/f.u.
- Energy above the lowest structure with this stoichiometry: 2.865 eV per formula unit
- Formation energy (no corrections): 0.9939 eV/atom

a b c (Å): 3.6811 3.6811 4.4521
angles (deg): 90.00 90.00 90.00
Space group P4/mmm (No. 123)
Inequivalent atoms, fractional coordinates:
Co 0.0000 0.0000 0.0000 (multiplicity 1)
Mo 0.0000 0.5000 0.5000 (multiplicity 2)
Cl 0.5000 0.5000 0.0000 (multiplicity 1)